## IrRhAu2 (PBE-GGA)

Data for a relaxed IrRhAu2 crystal.

Unit cell a=5.590 b=5.590 c=5.590 alpha=150.76 beta=129.12 gamma=59.76
Fractional positions:
Rh (0.736, 0.236, 0.500)
Au (0.259, 0.759, 0.500)
Ir (0.512, 0.512, 0.000)
Au (0.993, 0.993, 0.000)

Computed properties:
ΔE to the lowest computed polymorph ... 188 meV per atom
Energy relative to the elements ... 1.318 eV per formula unit
Fermi-level density of states ... 1.376 states/eV/atom
Symmetry ... Imm2